(1)
Computed, not measured: a relaxed KUTe4Au crystal at the GGA-PBE level of DFT.

- Energy relative to the elements, uncorrected: -3.82 eV per formula unit

Unit cell a=7.7261 b=6.2687 c=10.1098 alpha=90.00 beta=111.68 gamma=90.00
Fractional coordinates of all 14 atoms:
Te1 0.4584 0.7500 0.1335
Te2 0.0380 0.5083 0.7023
Te3 0.5662 0.2500 0.4080
Te4 0.9620 0.4917 0.2977
Te5 0.9620 0.0083 0.2977
Te6 0.4338 0.7500 0.5920
Te7 0.0380 0.9917 0.7023
Te8 0.5416 0.2500 0.8665
U1 0.2777 0.2500 0.5595
U2 0.7223 0.7500 0.4405
Au1 0.2630 0.7500 0.3004
Au2 0.7370 0.2500 0.6996
K1 0.7834 0.7500 0.9415
K2 0.2166 0.2500 0.0585

---

(2)
Computed, not measured: a relaxed SrPm2Pr crystal at the GGA-PBE level of DFT.

- Final energy: -3.8403 eV per atom

Unit cell a=5.3464 b=5.3289 c=5.3289 alpha=90.00 beta=90.00 gamma=90.00
Fractional coordinates of all 4 atoms:
Sr1 0.5000 0.0000 0.0000
Pr1 0.5000 0.5000 0.5000
Pm1 0.0000 0.0000 0.5000
Pm2 0.0000 0.5000 0.0000

---

(3)
Computed, not measured: a relaxed Be2AlHgIr crystal at the GGA-PBE level of DFT.

- Final energy: -2.7099 eV per atom

Unit cell a=4.2056 b=4.9679 c=4.2056 alpha=90.00 beta=90.00 gamma=90.00
Fractional coordinates of all 5 atoms:
Al1 0.0000 0.0000 0.0000
Be1 0.5000 0.0000 0.0000
Be2 0.0000 0.0000 0.5000
Ir1 0.5000 0.5000 0.5000
Hg1 0.0000 0.5000 0.0000

---

(4)
Computed, not measured: a relaxed ThGa4CuPt2 crystal at the GGA-PBE level of DFT.

- Final energy: -5.0360 eV per atom

Unit cell a=4.3329 b=4.3329 c=8.9786 alpha=76.04 beta=76.04 gamma=60.00
Fractional coordinates of all 8 atoms:
Cu1 0.5000 0.5000 0.5000
Pt1 0.2390 0.2390 0.2830
Pt2 0.7610 0.7610 0.7170
Ga1 0.8683 0.8683 0.3951
Ga2 0.5996 0.5996 0.2013
Ga3 0.4004 0.4004 0.7987
Ga4 0.1317 0.1317 0.6049
Th1 0.0000 0.0000 0.0000

---

(5)
Computed, not measured: a relaxed Cs2SiBiTe4 crystal at the GGA-PBE level of DFT.

- Energy relative to the elements, uncorrected: -3.65 eV per formula unit

Unit cell a=7.1106 b=8.6828 c=13.8578 alpha=83.97 beta=75.13 gamma=65.83
Fractional coordinates of all 16 atoms:
Te1 0.5541 0.1963 0.1173
Te2 0.8823 0.6963 0.6173
Te3 0.5004 0.3037 0.6173
Te4 0.4214 0.6963 0.3827
Te5 0.2496 0.1963 0.8827
Te6 0.1959 0.3037 0.3827
Te7 0.3286 0.8037 0.1173
Te8 0.8677 0.8037 0.8827
Si1 0.5000 0.0000 0.0000
Si2 0.2500 0.5000 0.5000
Cs1 0.9317 0.5000 0.1366
Cs2 0.1817 0.0000 0.6366
Cs3 0.5683 0.5000 0.8634
Cs4 0.8183 0.0000 0.3634
Bi1 0.7500 0.5000 0.5000
Bi2 0.0000 0.0000 0.0000

---

(6)
Computed, not measured: a relaxed Nd12Dy7In crystal at the GGA-PBE level of DFT.

- Final energy: -4.4635 eV per atom

Unit cell a=8.7708 b=8.7708 c=8.7708 alpha=89.29 beta=89.29 gamma=89.29
Fractional coordinates of all 20 atoms:
Nd1 0.6154 0.1427 0.4940
Nd2 0.8692 0.2621 0.7368
Nd3 0.1308 0.7379 0.2632
Nd4 0.2632 0.1308 0.7379
Nd5 0.7379 0.2632 0.1308
Nd6 0.2621 0.7368 0.8692
Nd7 0.4940 0.6154 0.1427
Nd8 0.7368 0.8692 0.2621
Nd9 0.3846 0.8573 0.5060
Nd10 0.1427 0.4940 0.6154
Nd11 0.5060 0.3846 0.8573
Nd12 0.8573 0.5060 0.3846
Dy1 0.0608 0.1449 0.3793
Dy2 0.8551 0.6207 0.9392
Dy3 0.3793 0.0608 0.1449
Dy4 0.9392 0.8551 0.6207
Dy5 0.1449 0.3793 0.0608
Dy6 0.6207 0.9392 0.8551
Dy7 0.5000 0.5000 0.5000
In1 0.0000 0.0000 0.0000

---

(7)
Computed, not measured: a relaxed GaSnPbAu3 crystal at the GGA-PBE level of DFT.

- Final energy: -3.5264 eV per atom

Unit cell a=6.3705 b=6.5044 c=7.8738 alpha=65.60 beta=81.18 gamma=68.22
Fractional coordinates of all 12 atoms:
Au1 0.9351 0.3592 0.8434
Au2 0.5649 0.7974 0.8434
Au3 0.2500 0.7914 0.4172
Au4 0.0649 0.6408 0.1566
Au5 0.4351 0.2026 0.1566
Au6 0.7500 0.2086 0.5828
Pb1 0.7500 0.7670 0.4660
Pb2 0.2500 0.2330 0.5340
Ga1 0.2500 0.9746 0.0508
Ga2 0.7500 0.0254 0.9492
Sn1 0.7500 0.4034 0.1932
Sn2 0.2500 0.5966 0.8068

---

(8)
Computed, not measured: a relaxed ScMnBi2 crystal at the GGA-PBE level of DFT.

- Final energy: -5.5325 eV per atom

Unit cell a=6.5517 b=6.5517 c=8.0433 alpha=65.97 beta=65.97 gamma=90.00
Fractional coordinates of all 8 atoms:
Sc1 0.5000 0.5000 0.0000
Sc2 0.2500 0.7500 0.5000
Mn1 0.7500 0.2500 0.5000
Mn2 0.0000 0.0000 0.0000
Bi1 0.3750 0.3477 0.7500
Bi2 0.6523 0.1250 0.2500
Bi3 0.0977 0.6250 0.2500
Bi4 0.8750 0.9023 0.7500

---

(9)
Computed, not measured: a relaxed CaIrSe crystal at the GGA-PBE level of DFT.

- Energy relative to the elements, uncorrected: -0.88 eV per formula unit

Unit cell a=4.5187 b=4.5187 c=4.5187 alpha=60.00 beta=60.00 gamma=60.00
Fractional coordinates of all 3 atoms:
Se1 0.0000 0.0000 0.0000
Ca1 0.5000 0.5000 0.5000
Ir1 0.7500 0.7500 0.7500

---

(10)
Computed, not measured: a relaxed Ho3Mg3Cd2 crystal at the GGA-PBE level of DFT.

- Final energy: -2.6575 eV per atom

Unit cell a=3.8742 b=7.9767 c=7.9767 alpha=120.00 beta=90.00 gamma=90.00
Fractional coordinates of all 8 atoms:
Cd1 0.0000 0.6667 0.3333
Cd2 0.0000 0.3333 0.6667
Ho1 0.5000 0.4034 0.4034
Ho2 0.5000 0.0000 0.5966
Ho3 0.5000 0.5966 0.0000
Mg1 0.0000 0.2329 0.0000
Mg2 0.0000 0.0000 0.2329
Mg3 0.0000 0.7671 0.7671

---

(11)
Computed, not measured: a relaxed Pa3FeCo2 crystal at the GGA-PBE level of DFT.

- Final energy: -8.8122 eV per atom

Unit cell a=5.5396 b=7.0610 c=6.5215 alpha=103.77 beta=115.13 gamma=90.00
Fractional coordinates of all 12 atoms:
Pa1 0.9104 0.3743 0.6659
Pa2 0.2446 0.1257 0.3341
Pa3 0.7554 0.8743 0.6659
Pa4 0.0896 0.6257 0.3341
Pa5 0.5980 0.2500 0.0000
Pa6 0.4020 0.7500 0.0000
Co1 0.5704 0.5170 0.3280
Co2 0.7577 0.0170 0.3280
Co3 0.4296 0.4830 0.6720
Co4 0.2423 0.9830 0.6720
Fe1 0.8772 0.7500 0.0000
Fe2 0.1228 0.2500 0.0000

---

(12)
Computed, not measured: a relaxed UPt2Rh3 crystal at the GGA-PBE level of DFT.

- Final energy: -7.9351 eV per atom

Unit cell a=5.2723 b=5.5347 c=7.3928 alpha=112.09 beta=95.98 gamma=89.95
Fractional coordinates of all 12 atoms:
Rh1 0.2959 0.1614 0.3222
Rh2 0.1994 0.5743 0.6486
Rh3 0.7041 0.8386 0.6778
Rh4 0.8006 0.4257 0.3514
Rh5 0.8015 0.9221 0.3508
Rh6 0.1985 0.0779 0.6492
Pt1 0.5004 0.2464 0.9997
Pt2 0.4996 0.7536 0.0003
Pt3 0.0004 0.2475 0.0003
Pt4 0.9996 0.7525 0.9997
U1 0.3120 0.6679 0.3345
U2 0.6880 0.3321 0.6655

---

no.,mass density (g cm⁻³)
1,7.19
2,5.67
3,8.27
4,11.43
5,4.46
6,7.34
7,11.87
8,6.09
9,7.92
10,6.16
11,12.92
12,15.66